Entry 1
# BaAcSb2 PBE optimized geometry
# Space-group type   R-3m
# Magnetization   0.0 Bohr magnetons per cell
data_BaAcSb2
_chemical_formula_sum 'Ba1 Ac1 Sb2'
_cell_length_a 8.613
_cell_length_b 8.613
_cell_length_c 8.613
_cell_angle_alpha 32.85
_cell_angle_beta 32.85
_cell_angle_gamma 32.85
_space_group_name_H-M_alt 'P 1'
_space_group_IT_number 1
_space_group_name_Hall 'P 1'
loop_
_atom_site_label
_atom_site_type_symbol
_atom_site_fract_x
_atom_site_fract_y
_atom_site_fract_z
Ba1 Ba 0.000 0.000 0.000
Ac1 Ac 0.500 0.500 0.500
Sb1 Sb 0.244 0.244 0.244
Sb2 Sb 0.756 0.756 0.756

Entry 2
# BaAcSb2 PBE optimized geometry
# Space-group type   R3m
# Magnetization   0.3 Bohr magnetons per cell
data_BaAcSb2
_chemical_formula_sum 'Ba1 Ac1 Sb2'
_cell_length_a 8.438
_cell_length_b 8.438
_cell_length_c 8.438
_cell_angle_alpha 34.41
_cell_angle_beta 34.41
_cell_angle_gamma 34.41
_space_group_name_H-M_alt 'P 1'
_space_group_IT_number 1
_space_group_name_Hall 'P 1'
loop_
_atom_site_label
_atom_site_type_symbol
_atom_site_fract_x
_atom_site_fract_y
_atom_site_fract_z
Ba1 Ba 0.000 0.000 0.000
Ac1 Ac 0.828 0.828 0.828
Sb1 Sb 0.422 0.422 0.422
Sb2 Sb 0.572 0.572 0.572

Of all the structures shown, which is most stable? entry 1, and entry 2 is the least stable.